1.
Compound: Sc2TiRu
Source: Alexandria
Functional: PBE
Structure: optimized geometry

**Calculated total energy**: -7.574 eV/atom
**ΔH_f (0 K)**: -0.46 eV per formula unit

Unit cell a=6.6352 b=6.6352 c=6.6352 alpha=90.00 beta=90.00 gamma=90.00
Closest atoms and distances in Å follow each position.
Space group Fm-3m (No. 225)
Symmetry-distinct sites (fractional):
Sc (0.2500, 0.2500, 0.2500) (multiplicity 8)  4 Ru 2.87, 4 Ti 2.87
Ti (0.0000, 0.0000, 0.0000) (multiplicity 4)  8 Sc 2.87
Ru (0.0000, 0.0000, 0.5000) (multiplicity 4)  8 Sc 2.87

---

2.
Compound: ScTi2Ru2
Source: Alexandria
Functional: PBE
Structure: optimized geometry

**Calculated total energy**: -8.476 eV/atom
**ΔH_f (0 K)**: -1.71 eV per formula unit

Unit cell a=7.4790 b=7.4790 c=2.9425 alpha=90.00 beta=90.00 gamma=90.00
Closest atoms and distances in Å follow each position.
Space group P4/mbm (No. 127)
Symmetry-distinct sites (fractional):
Sc (0.0000, 0.0000, 0.0000) (multiplicity 2)  4 Ti 2.89, 2 Sc 2.94, 8 Ru 3.18
Ti (0.1392, 0.3608, 0.0000) (multiplicity 4)  6 Ru 2.60-2.67, 2 Sc 2.89
Ru (0.1585, 0.6585, 0.5000) (multiplicity 4)  6 Ti 2.60-2.67

---

3.
Compound: ScTi2Ru
Source: Alexandria
Functional: PBE
Structure: optimized geometry

**Calculated total energy**: -7.841 eV/atom
**ΔH_f (0 K)**: 0.03 eV per formula unit

Unit cell a=7.3377 b=7.3377 c=5.5743 alpha=90.00 beta=90.00 gamma=90.00
Closest atoms and distances in Å follow each position.
Space group I-42d (No. 122)
Symmetry-distinct sites (fractional):
Sc (0.0000, 0.0000, 0.0000) (multiplicity 4)  2 Ru 2.79, 4 Ti 2.97
Ti (0.1956, 0.2500, 0.6250) (multiplicity 8)  2 Ru 2.43
Ru (0.0000, 0.0000, 0.5000) (multiplicity 4)  4 Ti 2.43

---

4.
Compound: Sc3TiRu
Source: Alexandria
Functional: PBE
Structure: optimized geometry

**Calculated total energy**: -6.997 eV/atom
**ΔH_f (0 K)**: 1.18 eV per formula unit

Unit cell a=4.9386 b=4.9386 c=4.9386 alpha=90.00 beta=90.00 gamma=90.00
Closest atoms and distances in Å follow each position.
Space group Pm-3m (No. 221)
Symmetry-distinct sites (fractional):
Sc (0.0000, 0.0000, 0.5000) (multiplicity 3)  2 Ru 2.47
Ti (0.5000, 0.5000, 0.5000) (multiplicity 1)  12 Sc 3.49
Ru (0.0000, 0.0000, 0.0000) (multiplicity 1)  6 Sc 2.47

---

5.
Compound: ScTi2Ru
Source: Alexandria
Functional: PBE
Structure: optimized geometry

**Calculated total energy**: -8.101 eV/atom
**ΔH_f (0 K)**: -1.01 eV per formula unit

Unit cell a=3.1158 b=3.1158 c=7.1985 alpha=90.00 beta=90.00 gamma=90.00
Closest atoms and distances in Å follow each position.
Space group P4/mmm (No. 123)
Symmetry-distinct sites (fractional):
Sc (0.0000, 0.0000, 0.0000) (multiplicity 1)  8 Ti 3.05, 4 Sc 3.12
Ti (0.5000, 0.5000, 0.2927) (multiplicity 2)  4 Ru 2.66
Ru (0.0000, 0.0000, 0.5000) (multiplicity 1)  8 Ti 2.66

---

6.
Compound: ScTi3Ru4
Source: Alexandria
Functional: PBE
Structure: optimized geometry

**Calculated total energy**: -9.113 eV/atom
**ΔH_f (0 K)**: -5.78 eV per formula unit

Unit cell a=3.1102 b=4.4118 c=8.7856 alpha=90.00 beta=90.00 gamma=90.00
Closest atoms and distances in Å follow each position.
Space group Pmmm (No. 47)
Symmetry-distinct sites (fractional):
Sc (0.0000, 0.0000, 0.0000) (multiplicity 1)  8 Ru 2.70-2.77
Ti (0.0000, 0.0000, 0.5000) (multiplicity 1)  8 Ru 2.62-2.70
Ti (0.0000, 0.5000, 0.2513) (multiplicity 2)  8 Ru 2.68-2.70
Ru (0.5000, 0.0000, 0.2604) (multiplicity 2)  6 Ti 2.62-2.70, 2 Sc 2.77
Ru (0.5000, 0.5000, 0.0000) (multiplicity 1)  4 Sc 2.70, 4 Ti 2.70
Ru (0.5000, 0.5000, 0.5000) (multiplicity 1)  8 Ti 2.68-2.70

---

Number 5 is which compound? ScTi2Ru

---

Which of these has the lowest ΔH_f (0 K)? ScTi3Ru4